Record 1
VASP calculation (GGA-PBE) on an optimized crystal structure of Pm3ThIr3.

Cell lengths 9.4417, 9.4417, 6.8312 Å; angles 90.00, 90.00, 120.00 degrees
Space group R3m (No. 160, hexagonal axes)
Asymmetric unit:
Pm  0.1936  0.3872  0.0000 x9
Th  0.0000  0.0000  0.7558 x3
Ir  0.0055  0.5027  0.2349 x9

For the magnetization, the calculation gives 0.000 Bohr magnetons per cell. The volume is 527.39 Å³/cell. The calculation puts the density of states at the Fermi level at 0.538 states/eV per atom. For the formation energy, the calculation gives -0.6207 eV per atom.

---

Record 2
VASP calculation (GGA-PBE) on an optimized crystal structure of PmThIr.

Cell lengths 3.678, 3.678, 11.312 Å; angles 90.00, 90.00, 90.00 degrees
Space group I4mm (No. 107)
Asymmetric unit:
Pm  0.000  0.000  0.000 x2
Th  0.000  0.000  0.707 x2
Ir  0.000  0.000  0.325 x2

For the magnetization, the calculation gives 0.000 Bohr magnetons per cell. The volume is 152.98 Å³/cell. The calculation puts the density of states at the Fermi level at 0.979 states/eV per atom. For the formation energy, the calculation gives -0.4810 eV per atom.

---

Record 3
VASP calculation (GGA-PBE) on an optimized crystal structure of PmThIr.

Cell lengths 7.009, 7.009, 7.009 Å; angles 90.00, 90.00, 90.00 degrees
Space group F-43m (No. 216)
Asymmetric unit:
Pm  0.000  0.000  0.000 x4
Th  0.000  0.000  0.500 x4
Ir  0.250  0.250  0.250 x4

For the magnetization, the calculation gives 0.000 Bohr magnetons per cell. The volume is 344.32 Å³/cell. The calculation puts the density of states at the Fermi level at 1.357 states/eV per atom. For the formation energy, the calculation gives -0.4965 eV per atom.

---

Record 4
VASP calculation (GGA-PBE) on an optimized crystal structure of PmThIr.

Cell lengths 7.118, 6.031, 10.427 Å; angles 90.00, 127.68, 90.00 degrees
Space group P2_1/c (No. 14)
Asymmetric unit:
Pm  0.196  0.136  0.377 x4
Th  0.328  0.633  0.626 x4
Ir  0.322  0.646  0.355 x4

For the magnetization, the calculation gives 0.000 Bohr magnetons per cell. The volume is 354.27 Å³/cell. The calculation puts the density of states at the Fermi level at 0.983 states/eV per atom. For the formation energy, the calculation gives -0.5003 eV per atom.

---

Record 5
VASP calculation (GGA-PBE) on an optimized crystal structure of Pm5ThIr4.

Cell lengths 18.656, 4.256, 7.715 Å; angles 90.00, 114.34, 90.00 degrees
Space group C2/m (No. 12)
Asymmetric unit:
Pm  0.000  0.000  0.000 x2
Pm  0.166  0.500  0.424 x4
Pm  0.166  0.500  0.909 x4
Th  0.000  0.000  0.500 x2
Ir  0.000  0.500  0.251 x4
Ir  0.195  0.000  0.695 x4

For the magnetization, the calculation gives 0.000 Bohr magnetons per cell. The volume is 558.17 Å³/cell. The calculation puts the density of states at the Fermi level at 0.580 states/eV per atom. For the formation energy, the calculation gives -0.6417 eV per atom.

---

Record 6
VASP calculation (GGA-PBE) on an optimized crystal structure of Pm2ThIr2.

Cell lengths 10.328, 7.069, 7.253 Å; angles 90.00, 92.98, 90.00 degrees
Space group P2_1/c (No. 14)
Asymmetric unit:
Pm  0.019  0.244  0.433 x4
Pm  0.294  0.675  0.872 x4
Th  0.367  0.189  0.995 x4
Ir  0.179  0.030  0.699 x4
Ir  0.473  0.548  0.202 x4

For the magnetization, the calculation gives 0.000 Bohr magnetons per cell. The volume is 528.81 Å³/cell. The calculation puts the density of states at the Fermi level at 0.740 states/eV per atom. For the formation energy, the calculation gives -0.6890 eV per atom.